# 1
AlCCl2, optimized geometry, DFT PBE-GGA; D(E_F) = 1.549 states/eV per cell; spin magnetization = 0.000 Bohr magnetons per cell; symmetry = R-3m (166)
1.0
0.1091 -8.1516 0.4996
2.8608 -7.5639 -1.1463
2.8336 -7.3648 2.1073
C Al Cl
1 1 2
Direct
0.0000 0.0000 0.0000
0.5000 0.5000 0.5000
0.9110 0.9110 0.9110
0.0890 0.0890 0.0890



# 2
Cs2AlCCl6, optimized geometry, DFT PBE-GGA; D(E_F) = 0.000 states/eV per cell; spin magnetization = 1.000 Bohr magnetons per cell; symmetry = I4/mmm (139)
1.0
6.8783 0.0000 0.0000
0.0000 6.8783 0.0000
3.4392 3.4392 5.7730
Cs C Al Cl
2 1 1 6
Direct
0.7500 0.2500 0.5000
0.2500 0.7500 0.5000
0.5000 0.5000 0.0000
0.0000 0.0000 0.0000
0.1954 0.1954 0.6091
0.8046 0.8046 0.3909
0.2515 0.2515 0.0000
0.7485 0.7485 0.0000
0.7485 0.2515 0.0000
0.2515 0.7485 0.0000



# 3
AlC2ClF, optimized geometry, DFT PBE-GGA; D(E_F) = 3.915 states/eV per cell; spin magnetization = 0.000 Bohr magnetons per cell; symmetry = P4/mmm (123)
1.0
-0.6009 0.9073 -3.8837
-1.6726 -4.1413 -0.7088
-3.6988 1.3423 0.8858
C F Al Cl
2 1 1 1
Direct
0.0000 0.0000 0.5000
0.5000 0.0000 0.0000
0.5000 0.5000 0.5000
0.0000 0.0000 0.0000
0.0000 0.5000 0.0000



# 4
Al2GaCCl, optimized geometry, DFT PBE-GGA; D(E_F) = 1.505 states/eV per cell; spin magnetization = 0.000 Bohr magnetons per cell; symmetry = P4/mmm (123)
1.0
5.3541 0.0000 0.0000
0.0000 3.6779 0.0000
0.0000 0.0000 5.3541
C Al Ga Cl
1 2 1 1
Direct
0.0000 0.5000 0.0000
0.0000 0.0000 0.5000
0.5000 0.0000 0.0000
0.0000 0.0000 0.0000
0.5000 0.5000 0.5000



# 5
HfAlCCl2, optimized geometry, DFT PBE-GGA; D(E_F) = 3.048 states/eV per cell; spin magnetization = 2.151 Bohr magnetons per cell; symmetry = P4/mmm (123)
1.0
-3.7546 3.0392 -0.0447
-3.6588 -4.5174 0.1784
0.0585 0.1433 4.8282
C Hf Al Cl
1 1 1 2
Direct
0.5000 0.5000 0.5000
0.0000 0.0000 0.0000
0.0000 0.5000 0.0000
0.0000 0.0000 0.5000
0.5000 0.0000 0.0000



# 6
AlIrC2Cl, optimized geometry, DFT PBE-GGA; D(E_F) = 3.719 states/eV per cell; spin magnetization = 0.000 Bohr magnetons per cell; symmetry = P4/mmm (123)
1.0
-3.1797 -1.6322 1.0460
0.0829 -2.5964 -3.7993
1.9374 -2.6060 1.8232
C Ir Al Cl
2 1 1 1
Direct
0.0000 0.0000 0.5000
0.5000 0.0000 0.0000
0.5000 0.5000 0.5000
0.0000 0.5000 0.0000
0.0000 0.0000 0.0000



# 7
AlIrCCl2, optimized geometry, DFT PBE-GGA; D(E_F) = 3.463 states/eV per cell; spin magnetization = 0.146 Bohr magnetons per cell; symmetry = P4/mmm (123)
1.0
-0.2561 4.2035 3.0988
0.8587 -2.1625 3.0044
5.0869 0.9028 -0.8041
C Ir Al Cl
1 1 1 2
Direct
0.0000 0.0000 0.0000
0.0000 0.5000 0.0000
0.5000 0.5000 0.5000
0.0000 0.0000 0.5000
0.5000 0.0000 0.0000



# 8
Al2MoCCl, optimized geometry, DFT PBE-GGA; D(E_F) = 3.784 states/eV per cell; spin magnetization = 3.558 Bohr magnetons per cell; symmetry = P4/mmm (123)
1.0
3.7869 0.0000 0.0000
0.0000 6.2313 0.0000
0.0000 0.0000 3.7869
C Mo Al Cl
1 1 2 1
Direct
0.0000 0.0000 0.0000
0.5000 0.5000 0.5000
0.0000 0.0000 0.5000
0.5000 0.0000 0.0000
0.0000 0.5000 0.0000



# 9
AlC5NCl, optimized geometry, DFT PBE-GGA; spin magnetization = 2.000 Bohr magnetons per cell; symmetry = P2_1/m (11)
1.0
-0.8504 -3.6843 -4.9025
-4.1599 -3.2271 3.1468
-8.2832 1.6749 0.1782
Al C N Cl
2 10 2 2
Direct
0.7500 0.2800 0.7080
0.2500 0.7200 0.2920
0.7500 0.5363 0.7783
0.2500 0.4637 0.2217
0.6143 0.7583 0.7399
0.1143 0.2417 0.2601
0.3857 0.2417 0.2601
0.8857 0.7583 0.7399
0.6352 0.9180 0.8237
0.1352 0.0820 0.1763
0.3648 0.0820 0.1763
0.8648 0.9180 0.8237
0.7500 0.8339 0.5756
0.2500 0.1661 0.4244
0.7500 0.4991 0.3942
0.2500 0.5009 0.6058



# 10
AlC3NCl3, optimized geometry, DFT PBE-GGA; D(E_F) = 2.078 states/eV per cell; spin magnetization = 0.434 Bohr magnetons per cell; symmetry = P2_1/m (11)
1.0
6.5942 0.0000 0.0000
0.0000 6.9845 -1.1521
0.0000 0.6840 7.0851
Al C N Cl
2 6 2 6
Direct
0.7500 0.9204 0.9778
0.2500 0.0796 0.0222
0.7500 0.6408 0.9020
0.2500 0.3592 0.0980
0.6038 0.5106 0.9964
0.1038 0.4894 0.0036
0.3962 0.4894 0.0036
0.8962 0.5106 0.9964
0.7500 0.4092 0.0820
0.2500 0.5908 0.9180
0.7500 0.6098 0.6490
0.2500 0.3902 0.3510
0.4986 0.0393 0.7877
0.9986 0.9607 0.2123
0.5014 0.9607 0.2123
0.0014 0.0393 0.7877



# 11
AlC3NCl3, optimized geometry, DFT PBE-GGA; D(E_F) = 2.103 states/eV per cell; spin magnetization = 0.433 Bohr magnetons per cell; symmetry = P2_1/m (11)
1.0
-1.5920 4.9213 4.0926
-0.7287 -5.4789 6.3049
5.2903 -2.1295 4.6186
C N Al Cl
6 2 2 6
Direct
0.2500 0.3862 0.2135
0.7500 0.6138 0.7865
0.3962 0.4902 0.0131
0.8962 0.5098 0.9869
0.6038 0.5098 0.9869
0.1038 0.4902 0.0131
0.2500 0.5677 0.8480
0.7500 0.4323 0.1520
0.2500 0.0862 0.4362
0.7500 0.9138 0.5638
0.2500 0.4851 0.3734
0.7500 0.5149 0.6266
0.4987 0.9796 0.3030
0.9987 0.0204 0.6970
0.5013 0.0204 0.6970
0.0013 0.9796 0.3030



# 12
NaAlC2Cl, optimized geometry, DFT PBE-GGA; D(E_F) = 2.314 states/eV per cell; spin magnetization = 1.689 Bohr magnetons per cell; symmetry = P4/mmm (123)
1.0
-2.9314 -0.5825 2.5546
-3.0058 -2.5904 -4.0398
1.5842 -3.4473 1.0318
Na C Al Cl
1 2 1 1
Direct
0.5000 0.5000 0.5000
0.0000 0.0000 0.5000
0.5000 0.0000 0.0000
0.0000 0.0000 0.0000
0.0000 0.5000 0.0000



# 13
AlPCCl2, optimized geometry, DFT PBE-GGA; D(E_F) = 1.419 states/eV per cell; spin magnetization = 0.000 Bohr magnetons per cell; symmetry = P4/mmm (123)
1.0
4.4189 0.0000 0.0000
0.0000 4.4189 0.0000
0.0000 0.0000 4.2076
P C Al Cl
1 1 1 2
Direct
0.0000 0.0000 0.5000
0.0000 0.0000 0.0000
0.5000 0.5000 0.5000
0.0000 0.5000 0.0000
0.5000 0.0000 0.0000



# 14
AlPCCl2, optimized geometry, DFT PBE-GGA; D(E_F) = 3.406 states/eV per cell; spin magnetization = 0.453 Bohr magnetons per cell; symmetry = P4/mmm (123)
1.0
-3.3009 3.1093 0.5818
-2.5135 -2.0676 -3.2109
-2.0828 -2.8609 3.4727
P C Al Cl
1 1 1 2
Direct
0.0000 0.0000 0.5000
0.5000 0.5000 0.5000
0.0000 0.0000 0.0000
0.0000 0.5000 0.0000
0.5000 0.0000 0.0000



# 15
AlPtCCl2, optimized geometry, DFT PBE-GGA; D(E_F) = 4.305 states/eV per cell; spin magnetization = 0.000 Bohr magnetons per cell; symmetry = P4/mmm (123)
1.0
5.2030 0.0000 0.0000
0.0000 3.8518 0.0000
0.0000 0.0000 5.2030
C Al Pt Cl
1 1 1 2
Direct
0.0000 0.0000 0.0000
0.5000 0.5000 0.5000
0.0000 0.5000 0.0000
0.0000 0.0000 0.5000
0.5000 0.0000 0.0000



# 16
Rb2AlCCl6, optimized geometry, DFT PBE-GGA; D(E_F) = 0.000 states/eV per cell; spin magnetization = 1.000 Bohr magnetons per cell; symmetry = I4/mmm (139)
1.0
6.7852 0.0000 0.0000
0.0000 6.7852 0.0000
3.3926 3.3926 5.5491
C Al Rb Cl
1 1 2 6
Direct
0.5000 0.5000 0.0000
0.0000 0.0000 0.0000
0.7500 0.2500 0.5000
0.2500 0.7500 0.5000
0.2042 0.2042 0.5916
0.7958 0.7958 0.4084
0.2522 0.2522 0.0000
0.7478 0.7478 0.0000
0.7478 0.2522 0.0000
0.2522 0.7478 0.0000



# 17
AlCS2Cl, optimized geometry, DFT PBE-GGA; D(E_F) = 1.037 states/eV per cell; spin magnetization = 0.000 Bohr magnetons per cell; symmetry = P4/mmm (123)
1.0
-3.4903 0.4768 -2.1704
-1.5552 -3.4108 1.7516
-1.6940 2.4474 3.2618
C S Al Cl
1 2 1 1
Direct
0.0000 0.0000 0.0000
0.0000 0.5000 0.0000
0.5000 0.0000 0.0000
0.5000 0.5000 0.5000
0.0000 0.0000 0.5000



# 18
AlCS2Cl, optimized geometry, DFT PBE-GGA; D(E_F) = 2.664 states/eV per cell; spin magnetization = 0.502 Bohr magnetons per cell; symmetry = P4/mmm (123)
1.0
-4.2708 1.7495 -0.6808
-1.4099 -1.8723 4.0337
1.2033 3.7850 2.1775
C S Al Cl
1 2 1 1
Direct
0.5000 0.5000 0.5000
0.0000 0.5000 0.0000
0.5000 0.0000 0.0000
0.0000 0.0000 0.0000
0.0000 0.0000 0.5000



# 19
AlCSCl2, optimized geometry, DFT PBE-GGA; D(E_F) = 3.014 states/eV per cell; spin magnetization = 0.995 Bohr magnetons per cell; symmetry = P4/mmm (123)
1.0
4.5555 0.0000 0.0000
0.0000 4.5555 0.0000
0.0000 0.0000 4.8652
C S Al Cl
1 1 1 2
Direct
0.5000 0.5000 0.5000
0.0000 0.0000 0.5000
0.0000 0.0000 0.0000
0.0000 0.5000 0.0000
0.5000 0.0000 0.0000



# 20
AlCSCl2, optimized geometry, DFT PBE-GGA; D(E_F) = 1.514 states/eV per cell; spin magnetization = 0.000 Bohr magnetons per cell; symmetry = P4/mmm (123)
1.0
-0.3047 2.1803 3.8831
-1.0448 -3.8185 2.0620
4.0711 -0.7224 0.7250
C S Al Cl
1 1 1 2
Direct
0.0000 0.0000 0.0000
0.0000 0.0000 0.5000
0.5000 0.5000 0.5000
0.0000 0.5000 0.0000
0.5000 0.0000 0.0000



| no. | formation energy without anion corrections (eV/atom) |
| --- | --- |
| 1 | 1.204 |
| 2 | -0.855 |
| 3 | 1.451 |
| 4 | 0.854 |
| 5 | 0.904 |
| 6 | 2.588 |
| 7 | 0.990 |
| 8 | 0.877 |
| 9 | 1.183 |
| 10 | -0.215 |
| 11 | -0.215 |
| 12 | 0.919 |
| 13 | 1.004 |
| 14 | 1.131 |
| 15 | 0.741 |
| 16 | -0.837 |
| 17 | 0.923 |
| 18 | 1.166 |
| 19 | 0.858 |
| 20 | 0.873 |